Entry 1:
The following is a GGA-PBE calculation of a relaxed structure of La2PmIO8, from Alexandria.

## Properties
As for the density of states at the Fermi level: 0.0 states/eV/cell. The space group is P2/m, No. 10. As for the raw formation energy: -2.28 eV per atom. Its density is 5.731 g/cm³. The magnetic moment comes out at 0.000 μB per atom.

Unit cell a=5.2565 b=5.2616 c=7.1007 alpha=90.00 beta=90.00 gamma=91.12
Last column: nearest neighbours and their distance in Å.
Positions (direct):
La: 0.5000 0.5000 0.7535  6 O 2.28-2.50
La: 0.5000 0.5000 0.2465  6 O 2.28-2.50
Pm: 0.0000 0.0000 0.5000  6 O 2.28-2.49
I: 0.0000 0.0000 0.0000  6 O 1.89-1.93
O: 0.1725 0.8262 0.2011  1 I 1.93
O: 0.7422 0.7442 0.0000  1 I 1.89
O: 0.8274 0.1738 0.2011  1 I 1.93
O: 0.8275 0.1738 0.7989  1 I 1.93
O: 0.2578 0.2558 0.0000  1 I 1.89
O: 0.1726 0.8262 0.7989  1 I 1.93
O: 0.6897 0.6912 0.5000  1 Pm 2.28, 2 La 2.28
O: 0.3103 0.3088 0.5000  1 Pm 2.28, 2 La 2.28

=====

Entry 2:
The following is a GGA-PBE calculation of a relaxed structure of CdAs3O9, from Alexandria.

## Properties
As for the density of states at the Fermi level: 17.8 states/eV/cell. The space group is C222_1, No. 20. As for the raw formation energy: -0.94 eV per atom. Its density is 4.009 g/cm³. The magnetic moment comes out at 0.085 μB per atom.

Unit cell a=7.2577 b=7.2577 c=7.5874 alpha=90.00 beta=90.00 gamma=94.18
Last column: nearest neighbours and their distance in Å.
Positions (direct):
Cd: 0.6906 0.6906 0.0000  6 O 2.26-2.43
Cd: 0.3094 0.3094 0.5000  6 O 2.26-2.43
As: 0.1879 0.7767 0.0385  4 O 1.68-1.79
As: 0.8121 0.2233 0.5385  4 O 1.68-1.79
As: 0.7767 0.1879 0.9615  4 O 1.68-1.79
As: 0.2233 0.8121 0.4615  4 O 1.68-1.79
As: 0.2202 0.2202 0.0000  4 O 1.68-1.80
As: 0.7798 0.7798 0.5000  4 O 1.68-1.80
O: 0.2290 0.9878 0.9206  2 As 1.78-1.80
O: 0.7710 0.0122 0.4206  2 As 1.78-1.80
O: 0.9878 0.2290 0.0794  2 As 1.78-1.80
O: 0.0122 0.7710 0.5794  2 As 1.78-1.80
O: 0.2609 0.3451 0.8151  1 As 1.68
O: 0.7391 0.6549 0.3151  1 As 1.68
O: 0.3451 0.2609 0.1849  1 As 1.68
O: 0.6549 0.7391 0.6849  1 As 1.68
O: 0.3429 0.6230 0.4624  1 As 1.68
O: 0.6571 0.3770 0.9624  1 As 1.68
O: 0.6230 0.3429 0.5376  1 As 1.68
O: 0.3770 0.6571 0.0376  1 As 1.68
O: 0.3393 0.0045 0.5371  1 As 1.68
O: 0.6607 0.9955 0.0371  1 As 1.68
O: 0.0045 0.3393 0.4629  1 As 1.68
O: 0.9955 0.6607 0.9629  1 As 1.68
O: 0.1338 0.8662 0.2500  2 As 1.79
O: 0.8662 0.1338 0.7500  2 As 1.79